Here is crystalline Na2MoS4 at its relaxed geometry from Alexandria. Energies are from PBE.

CIF file:
```
data_Na2MoS4
_chemical_formula_sum 'Na4 Mo2 S8'
_cell_length_a 6.6310
_cell_length_b 7.0449
_cell_length_c 8.0001
_cell_angle_alpha 90.00
_cell_angle_beta 106.82
_cell_angle_gamma 90.00
_symmetry_space_group_name_H-M 'P 1 21/m 1'
_symmetry_Int_Tables_number 11
loop_
_symmetry_equiv_pos_as_xyz
'x,y,z'
'-x,-y,-z'
'-x,y+1/2,-z'
'x,-y+1/2,z'
loop_
_atom_site_label
_atom_site_fract_x
_atom_site_fract_y
_atom_site_fract_z
Na1 0.2120 0.2500 0.0467
Na2 0.2424 0.2500 0.5602
Mo1 0.2331 0.7500 0.8035
S1 0.0189 0.5014 0.7468
S2 0.4093 0.7500 0.0802
S3 0.4403 0.7500 0.6327
```

Summary:
- size of the total moment (Bohr magnetons per cell) = 0.00
- calculated volume (Å³/cell) = 358
- formation energy without anion corrections (meV per atom) = -793
- final energy (eV/atom) = -5.0753



Here is crystalline TlCdOs2 at its relaxed geometry from Alexandria. Energies are from PBE.

CIF file:
```
data_TlCdOs2
_chemical_formula_sum 'Tl1 Cd1 Os2'
_cell_length_a 2.9137
_cell_length_b 2.9137
_cell_length_c 8.9862
_cell_angle_alpha 90.00
_cell_angle_beta 90.00
_cell_angle_gamma 90.00
_symmetry_space_group_name_H-M 'P 4 m m'
_symmetry_Int_Tables_number 99
loop_
_symmetry_equiv_pos_as_xyz
'x,y,z'
'-y,x,z'
'-x,-y,z'
'y,-x,z'
'-x,y,z'
'y,x,z'
'x,-y,z'
'-y,-x,z'
loop_
_atom_site_label
_atom_site_fract_x
_atom_site_fract_y
_atom_site_fract_z
Tl1 0.0000 0.0000 0.0000
Cd1 0.5000 0.5000 0.3292
Os1 0.0000 0.0000 0.5631
Os2 0.5000 0.5000 0.7385
```

Summary:
- size of the total moment (Bohr magnetons per cell) = 0.00
- calculated volume (Å³/cell) = 76
- final energy (eV/atom) = -5.9879



Here is crystalline RbTmCdTe3 at its relaxed geometry from Alexandria. Energies are from PBE.

CIF file:
```
data_RbTmCdTe3
_chemical_formula_sum 'Rb2 Tm2 Cd2 Te6'
_cell_length_a 9.7862
_cell_length_b 4.5016
_cell_length_c 10.9621
_cell_angle_alpha 90.00
_cell_angle_beta 109.60
_cell_angle_gamma 90.00
_symmetry_space_group_name_H-M 'P 1 21/m 1'
_symmetry_Int_Tables_number 11
loop_
_symmetry_equiv_pos_as_xyz
'x,y,z'
'-x,-y,-z'
'-x,y+1/2,-z'
'x,-y+1/2,z'
loop_
_atom_site_label
_atom_site_fract_x
_atom_site_fract_y
_atom_site_fract_z
Rb1 0.2155 0.2500 0.2443
Tm1 0.3303 0.7500 0.8648
Cd1 0.0816 0.2500 0.6090
Te1 0.1143 0.2500 0.8726
Te2 0.2328 0.7500 0.5491
Te3 0.4660 0.7500 0.1553
```

Summary:
- size of the total moment (Bohr magnetons per cell) = 0.00
- calculated volume (Å³/cell) = 455
- formation energy without anion corrections (meV per atom) = -1041
- final energy (eV/atom) = -3.6704



Look up the size of the total moment of the third one. 0.00 Bohr magnetons per cell